Computed, not measured: InAsBr2 at its PBEsol-relaxed geometry at the meta-GGA SCAN level of DFT.

Computed properties:
E above lowest polymorph   265 meV/atom
Space-group type   No. 160
Uncorrected formation energy   -0.079 eV per atom

Cell: 3.705 3.705 26.148 Å, 90.00 90.00 120.00°
Fractional positions:
In1 0.000 0.000 0.000
In2 0.333 0.667 0.667
In3 0.667 0.333 0.333
As1 0.000 0.000 0.263
As2 0.333 0.667 0.930
As3 0.667 0.333 0.597
Br1 0.000 0.000 0.521
Br2 0.000 0.000 0.739
Br3 0.333 0.667 0.188
Br4 0.333 0.667 0.406
Br5 0.667 0.333 0.072
Br6 0.667 0.333 0.855